ZrCdS2Cl after structural relaxation, computed with PBE.

Lattice parameters (Å, degrees): 4.992 4.992 4.862 90.00 90.00 90.00
Fractional coordinates of all 5 atoms:
Zr: 0.000 0.000 0.000
Cd: 0.500 0.500 0.500
S: 0.000 0.500 0.500
S: 0.500 0.000 0.500
Cl: 0.500 0.500 0.000

Properties
N(E_F)   5.4 states/eV per cell
Calculated volume   24.23 Å³ per atom
Formation energy (no corrections)   0.129 eV per atom